Compound: Pa2TiGa5
Source: Alexandria
Functional: PBE-GGA
Structure: relaxed

Cell lengths 5.9455, 5.9455, 5.9455 Å; angles 115.20, 115.20, 98.53 degrees
Atoms (fractional coordinates):
Pa  0.0000  0.5000  0.5000
Pa  0.5000  0.0000  0.5000
Ti  0.1165  0.1165  0.0000
Ga  0.4849  0.4849  0.0000
Ga  0.5431  0.5431  0.5778
Ga  0.5431  0.9653  0.0000
Ga  0.9653  0.5431  0.0000
Ga  0.9653  0.9653  0.4222

Values from the calculation:
Space group: I4mm, No. 107
E (eV per atom): -5.55


Compound: PaTi2Ga
Source: Alexandria
Functional: PBE-GGA
Structure: relaxed

Cell lengths 3.4065, 3.4065, 6.3401 Å; angles 90.00, 90.00, 90.00 degrees
Atoms (fractional coordinates):
Pa  0.0000  0.0000  0.0000
Ti  0.5000  0.5000  0.2641
Ti  0.5000  0.5000  0.7359
Ga  0.0000  0.0000  0.5000

Values from the calculation:
Energy relative to the lowest polymorph listed for this composition (kJ/mol of formula units): 36
Space group: P4/mmm, No. 123